No. 1
Crystalline IrRu5 at its relaxed geometry, computed with PBE-GGA.

The structure in extended XYZ format:
```
6
Lattice="2.7324 0.0000 0.0000 1.3662 7.1173 0.0000 0.0000 0.0000 4.3131" Properties=species:S:1:pos:R:3 pbc="T T T"
Ir 1.3662 7.1141 0.0000
Ru 2.7324 4.7231 0.0000
Ru 2.7324 1.5992 2.1565
Ru 1.3662 3.9499 2.1565
Ru 1.3662 2.3909 0.0000
Ru 2.7324 6.3195 2.1565
```

Summary:
As for the total DFT energy (no corrections): -9.24 eV/atom. The space group is Amm2 (38). The volume is 14.0 Å³/atom. As for the formation enthalpy at 0 K: -0.19 eV per formula unit. The value obtained for the density of states at the Fermi level is 4.50 states/eV per cell. Its total magnetic moment is 0.000 μB per cell.

***

No. 2
Crystalline ZrMo2Ir at its relaxed geometry, computed with PBE-GGA.

The structure in extended XYZ format:
```
4
Lattice="2.8123 0.0000 0.0000 0.0000 2.8123 0.0000 0.0000 0.0000 8.6018" Properties=species:S:1:pos:R:3 pbc="T T T"
Mo 0.0000 0.0000 8.4072
Mo 1.4061 1.4061 2.0256
Ir 1.4061 1.4061 6.6197
Zr 0.0000 0.0000 4.4521
```

Summary:
As for the total DFT energy (no corrections): -9.84 eV/atom. The space group is P4mm (99). The volume is 17.0 Å³/atom. As for the formation enthalpy at 0 K: -0.29 eV per formula unit. The value obtained for the density of states at the Fermi level is 2.91 states/eV per cell. Its total magnetic moment is 0.000 μB per cell.

***

No. 3
Crystalline Cs2Rb4Cd at its relaxed geometry, computed with PBE-GGA.

The structure in extended XYZ format:
```
14
Lattice="-3.0361 6.7645 -3.4257 -10.1231 3.7368 6.6136 5.5267 10.0865 5.2820" Properties=species:S:1:pos:R:3 pbc="T T T"
Cs -3.8779 5.4083 4.3793
Rb -10.4595 12.2819 4.3113
Rb -7.2256 15.3595 7.5223
Rb 1.0309 12.9458 5.1756
Cd -0.7590 1.6911 -0.8564
Rb -0.4069 5.2283 0.9476
Rb -2.9192 13.1086 8.9979
Rb 2.8270 8.3059 4.1586
Rb -4.7133 7.4792 -0.5280
Cs -3.7546 15.1795 4.0906
Cs -1.8866 10.2144 2.3678
Rb -8.6634 7.6420 3.2943
Cs -5.7459 10.3734 6.1021
Cd -2.2771 5.0734 -2.5693
```

Summary:
As for the total DFT energy (no corrections): -0.93 eV/atom. The space group is I4/mcm (140). The volume is 83.7 Å³/atom. As for the formation enthalpy at 0 K: 0.01 eV per formula unit. The value obtained for the density of states at the Fermi level is 12.21 states/eV per cell. Its total magnetic moment is 0.000 μB per cell.

***

- The lowest volume belongs to which entry?
  IrRu5